No. 1
VASP calculation (PBE) on a relaxed structure of Rb3TlIn.

The structure in CIF format:
```
data_Rb3TlIn
_chemical_formula_sum 'Rb3 Tl1 In1'
_cell_length_a 7.073
_cell_length_b 7.073
_cell_length_c 7.073
_cell_angle_alpha 90.00
_cell_angle_beta 90.00
_cell_angle_gamma 90.00
_symmetry_space_group_name_H-M 'P 1'
_symmetry_Int_Tables_number 1
_symmetry_space_group_name_Hall 'P 1'
loop_
_atom_site_label
_atom_site_type_symbol
_atom_site_fract_x
_atom_site_fract_y
_atom_site_fract_z
_atom_site_occupancy
In1 In 0.000 0.000 0.000 1
Tl1 Tl 0.500 0.500 0.500 1
Rb1 Rb 0.500 0.000 0.000 1
Rb2 Rb 0.000 0.000 0.500 1
Rb3 Rb 0.000 0.500 0.000 1
```

Output
Space-group type   Pm-3m, No. 221
Excess energy over the best structure of this formula in the dataset   0 meV per atom
Energy relative to the elements   0.276 eV/atom
N(E_F)   0.952 states/eV per atom

No. 2
VASP calculation (PBE) on a relaxed structure of Sc2CoAu.

The structure in CIF format:
```
data_Sc2CoAu
_chemical_formula_sum 'Sc2 Co1 Au1'
_cell_length_a 3.581
_cell_length_b 3.581
_cell_length_c 7.340
_cell_angle_alpha 76.70
_cell_angle_beta 76.70
_cell_angle_gamma 58.27
_symmetry_space_group_name_H-M 'P 1'
_symmetry_Int_Tables_number 1
_symmetry_space_group_name_Hall 'P 1'
loop_
_atom_site_label
_atom_site_type_symbol
_atom_site_fract_x
_atom_site_fract_y
_atom_site_fract_z
_atom_site_occupancy
Sc1 Sc 0.987 0.987 0.042 1
Sc2 Sc 0.513 0.513 0.458 1
Au1 Au 0.750 0.750 0.750 1
Co1 Co 0.250 0.250 0.250 1
```

Output
Space-group type   C2/m, No. 12
Energy relative to the elements   -0.305 eV/atom
N(E_F)   0.835 states/eV per atom

No. 3
VASP calculation (PBE) on a relaxed structure of Ca2PuHO5.

The structure in CIF format:
```
data_Ca2PuHO5
_chemical_formula_sum 'Ca4 Pu2 H2 O10'
_cell_length_a 3.401
_cell_length_b 6.666
_cell_length_c 10.425
_cell_angle_alpha 90.00
_cell_angle_beta 90.00
_cell_angle_gamma 104.78
_symmetry_space_group_name_H-M 'P 1'
_symmetry_Int_Tables_number 1
_symmetry_space_group_name_Hall 'P 1'
loop_
_atom_site_label
_atom_site_type_symbol
_atom_site_fract_x
_atom_site_fract_y
_atom_site_fract_z
_atom_site_occupancy
O1 O 0.307 0.613 0.392 1
O2 O 0.341 0.682 0.023 1
O3 O 0.969 0.939 0.527 1
O4 O 0.031 0.061 0.027 1
O5 O 0.501 0.002 0.785 1
O6 O 0.300 0.600 0.670 1
O7 O 0.659 0.318 0.523 1
O8 O 0.499 0.998 0.285 1
O9 O 0.693 0.387 0.892 1
O10 O 0.700 0.400 0.170 1
Ca1 Ca 0.879 0.759 0.853 1
Ca2 Ca 0.893 0.786 0.181 1
Ca3 Ca 0.107 0.214 0.681 1
Ca4 Ca 0.121 0.241 0.353 1
Pu1 Pu 0.818 0.636 0.530 1
Pu2 Pu 0.182 0.364 0.030 1
H1 H 0.547 0.093 0.861 1
H2 H 0.453 0.907 0.361 1
```

Output
Space-group type   Cmc2_1, No. 36
N(E_F)   0.472 states/eV per atom
Raw total energy   -7.759 eV/atom

No. 4
VASP calculation (PBE) on a relaxed structure of MoRh2Br.

The structure in CIF format:
```
data_MoRh2Br
_chemical_formula_sum 'Mo1 Rh2 Br1'
_cell_length_a 4.476
_cell_length_b 4.475
_cell_length_c 4.446
_cell_angle_alpha 120.19
_cell_angle_beta 120.20
_cell_angle_gamma 90.04
_symmetry_space_group_name_H-M 'P 1'
_symmetry_Int_Tables_number 1
_symmetry_space_group_name_Hall 'P 1'
loop_
_atom_site_label
_atom_site_type_symbol
_atom_site_fract_x
_atom_site_fract_y
_atom_site_fract_z
_atom_site_occupancy
Mo1 Mo 0.750 0.250 0.500 1
Br1 Br 0.500 0.500 0.000 1
Rh1 Rh 0.250 0.750 0.500 1
Rh2 Rh 0.000 0.000 0.000 1
```

Output
Space-group type   I-4m2, No. 119
Excess energy over the best structure of this formula in the dataset   437 meV per atom
N(E_F)   1.112 states/eV per atom